VASP calculation (PBE) on an optimized crystal structure of BaLiO.

Calculated values
relative energy among the computed polymorphs = 0.000 eV per atom
uncorrected formation energy = -1.61 eV/atom
DOS at the Fermi energy = 1.74 states/eV per cell
total moment = 0.00 Bohr magnetons per cell

Structure (CIF):
```
data_BaLiO
_chemical_formula_sum 'Ba2 Li2 O2'
_cell_length_a 4.3200
_cell_length_b 6.9003
_cell_length_c 7.1019
_cell_angle_alpha 90.00
_cell_angle_beta 127.29
_cell_angle_gamma 90.00
_space_group_name_H-M_alt 'P 1 2/c 1'
_space_group_IT_number 13
_space_group_name_Hall '-P 2yc'
loop_
_atom_site_label
_atom_site_type_symbol
_atom_site_fract_x
_atom_site_fract_y
_atom_site_fract_z
Ba1 Ba 0.0000 0.1087 0.2500
Li1 Li 0.5000 0.3620 0.7500
O1 O 0.5000 0.0944 0.7500
```